Record 1
This record from Alexandria via LeMat-Bulk describes a geometry-optimized Sr2Mg2Cd structure. The functional is GGA-PBE.

Values from the calculation:
Energy above the most stable polymorph in this dataset: 18 meV/atom
Space-group type: C2/m

a b c (Å): 5.172 6.612 11.229
angles (deg): 86.54 76.68 66.98
Fractional positions:
Mg  0.906  0.743  0.445
Mg  0.094  0.257  0.555
Mg  0.374  0.133  0.119
Mg  0.626  0.867  0.881
Sr  0.677  0.314  0.333
Sr  0.917  0.279  0.887
Sr  0.083  0.721  0.113
Sr  0.323  0.686  0.667
Cd  0.379  0.894  0.348
Cd  0.621  0.106  0.652

=====

Record 2
This record from Alexandria via LeMat-Bulk describes a geometry-optimized Sr2Mg5Cd12 structure. The functional is GGA-PBE.

Values from the calculation:
Space-group type: R-3m

a b c (Å): 7.770 7.770 7.770
angles (deg): 82.52 82.52 82.52
Fractional positions:
Mg  0.898  0.898  0.898
Mg  0.000  0.500  0.000
Mg  0.500  0.000  0.000
Mg  0.102  0.102  0.102
Mg  0.000  0.000  0.500
Cd  0.000  0.292  0.708
Cd  0.708  0.292  0.000
Cd  0.354  0.849  0.354
Cd  0.354  0.354  0.849
Cd  0.292  0.000  0.708
Cd  0.000  0.708  0.292
Cd  0.646  0.151  0.646
Cd  0.151  0.646  0.646
Cd  0.292  0.708  0.000
Cd  0.708  0.000  0.292
Cd  0.849  0.354  0.354
Cd  0.646  0.646  0.151
Sr  0.659  0.659  0.659
Sr  0.341  0.341  0.341

=====

Number 1: formation energy from the elements -0.138 eV per atom. Number 2: formation energy from the elements -0.198 eV per atom.